# Tb5Dy8Y GGA-PBE relaxed
data_Tb5Dy8Y
_symmetry_space_group_name_H-M 'I -4'
_symmetry_Int_Tables_number 82
_cell_length_a 9.5430
_cell_length_b 9.5430
_cell_length_c 10.0989
_cell_angle_alpha 90.00
_cell_angle_beta 90.00
_cell_angle_gamma 90.00
loop_
_symmetry_equiv_pos_as_xyz
'x,y,z'
'y,-x,-z'
'-x,-y,z'
'-y,x,-z'
'x+1/2,y+1/2,z+1/2'
'y+1/2,-x+1/2,-z+1/2'
'-x+1/2,-y+1/2,z+1/2'
'-y+1/2,x+1/2,-z+1/2'
loop_
_atom_site_label
_atom_site_fract_x
_atom_site_fract_y
_atom_site_fract_z
_atom_site_occupancy
Tb1 0.0000 0.0000 0.0000 1
Tb2 0.1105 0.7891 0.4247 1
Dy1 0.0709 0.6760 0.0964 1
Dy2 0.0880 0.8265 0.7529 1
Y1 0.0000 0.5000 0.7500 1
# calculated volume = 460 Å³/f.u.
# density of states at the Fermi level = 41.496 states/eV/cell
# total magnetic moment = 0.000 μB/cell
# formation energy from the elements = 0.250 eV/atom